# 1
Compound: NaFeIr
Source: Alexandria
Functional: PBE
Structure: optimized geometry

energy of formation	261	meV/atom

a b c (Å): 4.369 5.859 4.863
angles (deg): 90.00 90.00 111.90
Atoms (fractional coordinates):
Na  0.018  0.630  0.061
Na  0.549  0.690  0.561
Ir  0.750  0.092  0.061
Ir  0.818  0.228  0.561
Fe  0.284  0.160  0.311
Fe  0.284  0.160  0.811

# 2
Compound: ZnReHg
Source: Alexandria
Functional: PBE
Structure: optimized geometry

energy of formation	1166	meV/atom

a b c (Å): 4.453 4.453 4.453
angles (deg): 60.00 60.00 60.00
Atoms (fractional coordinates):
Hg  0.500  0.500  0.500
Re  0.750  0.750  0.750
Zn  0.000  0.000  0.000

# 3
Compound: Zn2CdAu2
Source: Alexandria
Functional: PBE
Structure: optimized geometry

energy of formation	-168	meV/atom

a b c (Å): 7.485 7.485 3.193
angles (deg): 90.00 90.00 90.00
Atoms (fractional coordinates):
Zn  0.154  0.654  0.500
Zn  0.654  0.846  0.500
Zn  0.846  0.346  0.500
Zn  0.346  0.154  0.500
Au  0.356  0.856  0.000
Au  0.856  0.644  0.000
Au  0.644  0.144  0.000
Au  0.144  0.356  0.000
Cd  0.000  0.000  0.000
Cd  0.500  0.500  0.000

Computed values of excess energy over the best structure of this formula in the dataset (unit: eV/f.u.) for the preceding records, in sequence: 0.00, 1.89, 0.00.
Computed values of total magnetization (unit: μB/cell) for the preceding records, in sequence: 6.0, 2.2, 0.0.
Computed values of final energy (unit: eV per atom) for the preceding records, in sequence: -5.953, -3.509, -2.172.